Record 1
This record from Alexandria describes a relaxed structure of Zr3In. The functional is GGA-PBEsol.

POSCAR file:
```
Zr3In
1.0
-2.4978 0.8215 1.8818
1.8634 -1.6603 3.1981
2.8916 5.7787 1.3153
Zr In
3 1
Direct
0.5000 0.5000 0.2470
0.5000 0.5000 0.7530
0.0000 0.0000 0.5000
0.0000 0.0000 0.0000
```

VASP energy (eV/atom): -7.78
Energy of formation from the pure elements (eV per atom): -0.21
D(E_F) (states/eV/f.u.): 4.68

Record 2
This record from Alexandria describes a relaxed structure of Al2SiTe. The functional is GGA-PBEsol.

POSCAR file:
```
Al2SiTe
1.0
3.9373 0.0000 0.0000
0.0000 3.9373 0.0000
-1.9687 -1.9687 5.1260
Te Al Si
1 2 1
Direct
0.2500 0.7500 0.5000
0.7500 0.2500 0.5000
0.0000 0.0000 0.0000
0.5000 0.5000 0.0000
```

VASP energy (eV/atom): -4.05
Formation energy without anion corrections (eV per atom): 0.313
D(E_F) (states/eV/f.u.): 2.05

Record 3
This record from Alexandria describes a relaxed structure of LiZr2Al2. The functional is GGA-PBEsol.

POSCAR file:
```
LiZr2Al2
1.0
-1.5473 -2.2794 1.0025
0.2020 -3.5211 -7.6940
7.1862 -3.9917 2.0155
Al Zr Li
4 4 2
Direct
0.5000 0.3293 0.1707
0.5000 0.6707 0.8293
0.5000 0.8293 0.3293
0.5000 0.1707 0.6707
0.0000 0.6258 0.1258
0.0000 0.8742 0.6258
0.0000 0.3742 0.8742
0.0000 0.1258 0.3742
0.0000 0.5000 0.5000
0.0000 0.0000 0.0000
```

VASP energy (eV/atom): -5.71
Energy of formation from the pure elements (eV per atom): -0.04
D(E_F) (states/eV/f.u.): 4.74

Record 4
This record from Alexandria describes a relaxed structure of Mg2TlHg. The functional is GGA-PBEsol.

POSCAR file:
```
Mg2TlHg
1.0
3.3307 0.0000 0.0000
1.6653 2.8845 0.0000
1.6653 0.9615 9.8437
Hg Mg Tl
1 2 1
Direct
0.2553 0.2553 0.2342
0.9963 0.9963 0.0112
0.7477 0.7477 0.7569
0.5008 0.5008 0.4977
```

VASP energy (eV/atom): -1.71
Energy of formation from the pure elements (eV per atom): -0.05
D(E_F) (states/eV/f.u.): 1.51

Record 5
This record from Alexandria describes a relaxed structure of Ho12Ni6Pb. The functional is GGA-PBEsol.

POSCAR file:
```
Ho12Ni6Pb
1.0
8.2314 0.0000 0.0000
-2.7438 7.7606 0.0000
-2.7438 -3.8803 6.7209
Ho Ni Pb
12 6 1
Direct
0.1880 0.3043 0.4924
0.1880 0.6957 0.8837
0.5076 0.8120 0.6957
0.1163 0.8120 0.3043
0.8837 0.1880 0.6957
0.6957 0.8837 0.1880
0.8120 0.3043 0.1163
0.3043 0.4924 0.1880
0.3043 0.1163 0.8120
0.6957 0.5076 0.8120
0.8120 0.6957 0.5076
0.4924 0.1880 0.3043
0.1241 0.6241 0.5000
0.5000 0.1241 0.6241
0.3759 0.5000 0.8759
0.5000 0.8759 0.3759
0.6241 0.5000 0.1241
0.8759 0.3759 0.5000
0.0000 0.0000 0.0000
```

VASP energy (eV/atom): -5.67
Energy of formation from the pure elements (eV per atom): -0.39
D(E_F) (states/eV/f.u.): 18.17

Record 6
This record from Alexandria describes a relaxed structure of GeBN2. The functional is GGA-PBEsol.

POSCAR file:
```
GeBN2
1.0
-0.3959 -1.0537 -2.8442
-1.9458 -2.3019 -0.5212
-4.4290 2.1222 -1.8146
N B Ge
2 1 1
Direct
0.9075 0.9075 0.2774
0.0925 0.0925 0.7226
0.0000 0.0000 0.0000
0.5000 0.5000 0.5000
```

VASP energy (eV/atom): -7.36
Formation energy without anion corrections (eV per atom): -0.104
D(E_F) (states/eV/f.u.): 0.78

Record 7
This record from Alexandria describes a relaxed structure of RbScW2O8. The functional is GGA-PBEsol.

POSCAR file:
```
RbScW2O8
1.0
5.8360 0.0000 0.0000
-2.9180 5.0541 0.0000
0.0000 0.0000 7.5132
O Sc Rb W
8 1 1 2
Direct
0.1644 0.3288 0.8334
0.6667 0.3333 0.4752
0.8356 0.1644 0.1666
0.3288 0.1644 0.1666
0.3333 0.6667 0.5248
0.6712 0.8356 0.8334
0.1644 0.8356 0.8334
0.8356 0.6712 0.1666
0.0000 0.0000 0.0000
0.0000 0.0000 0.5000
0.6667 0.3333 0.2419
0.3333 0.6667 0.7581
```

VASP energy (eV/atom): -8.89
Formation energy without anion corrections (eV per atom): -2.452
D(E_F) (states/eV/f.u.): 0.00

Record 8
This record from Alexandria describes a relaxed structure of KSrSi2. The functional is GGA-PBEsol.

POSCAR file:
```
KSrSi2
1.0
-1.2097 -1.9306 4.8057
3.8780 -1.4931 3.3192
1.0255 2.8743 4.3557
Sr Si K
1 2 1
Direct
0.5000 0.5000 0.5000
0.2500 0.2500 0.2500
0.7500 0.7500 0.7500
0.0000 0.0000 0.0000
```

VASP energy (eV/atom): -3.34
Formation energy without anion corrections (eV per atom): 0.276
D(E_F) (states/eV/f.u.): 2.38

Which formula does entry 8 have?
KSrSi2

Look up the D(E_F) of the sixth one.
0.78 states/eV/f.u.

VASP energy of number 1 (Zr3In)?
-7.78 eV/atom

Look up the D(E_F) of the fifth one.
18.17 states/eV/f.u.